(1)
PBE-GGA NbZn2I, optimized geometry; relative energy among the computed polymorphs = 261 meV/atom; uncorrected formation energy = 0.90 eV per atom; mass density = 6.91 g/cm3; SG = No. 225; crystal system = cubic; DOS(E_F) = 0.83 states/eV per atom; total magnetization = 2.39 μB/f.u.
1.0
0.0000 3.4788 3.4788
3.4788 0.0000 3.4788
3.4788 3.4788 0.0000
Nb Zn I
1 2 1
direct
0.0000 0.0000 0.0000 Nb
0.2500 0.2500 0.2500 Zn
0.7500 0.7500 0.7500 Zn
0.5000 0.5000 0.5000 I

---

(2)
PBE-GGA LiGdErBe, optimized geometry; mass density = 6.47 g/cm3; SG = No. 216; crystal system = cubic; DOS(E_F) = 0.91 states/eV per atom; total magnetization = 7.68 μB/f.u.; formation energy from the elements = 0.131 eV/atom
1.0
0.0000 3.5220 3.5220
3.5220 0.0000 3.5220
3.5220 3.5220 0.0000
Li Gd Er Be
1 1 1 1
direct
0.0000 0.0000 0.0000 Li
0.7500 0.7500 0.7500 Gd
0.2500 0.2500 0.2500 Er
0.5000 0.5000 0.5000 Be

---

(3)
PBE-GGA Zn2Ag, optimized geometry; mass density = 8.39 g/cm3; SG = No. 141; crystal system = tetragonal; DOS(E_F) = 0.24 states/eV per atom; total magnetization = 0.00 μB/f.u.; formation energy from the elements = -0.012 eV/atom
1.0
-1.9605 1.9605 12.2982
1.9605 -1.9605 12.2982
1.9605 1.9605 -12.2982
Zn Ag
8 4
direct
0.1250 0.3750 0.7500 Zn
0.2932 0.5432 0.7500 Zn
0.3750 0.1250 0.2500 Zn
0.4568 0.7068 0.7500 Zn
0.5432 0.2932 0.2500 Zn
0.6250 0.8750 0.7500 Zn
0.7068 0.4568 0.2500 Zn
0.8750 0.6250 0.2500 Zn
0.0440 0.7940 0.2500 Ag
0.2060 0.9560 0.2500 Ag
0.7940 0.0440 0.7500 Ag
0.9560 0.2060 0.7500 Ag

---

(4)
PBE-GGA PmCdCuIr, optimized geometry; mass density = 10.82 g/cm3; SG = No. 216; crystal system = cubic; DOS(E_F) = 0.50 states/eV per atom; total magnetization = 0.00 μB/f.u.; formation energy from the elements = -0.192 eV/atom
1.0
0.0000 3.4017 3.4017
3.4017 0.0000 3.4017
3.4017 3.4017 0.0000
Pm Cd Cu Ir
1 1 1 1
direct
0.0000 0.0000 0.0000 Pm
0.5000 0.5000 0.5000 Cd
0.2500 0.2500 0.2500 Cu
0.7500 0.7500 0.7500 Ir

---

(5)
PBE-GGA SrBe2Co, optimized geometry; relative energy among the computed polymorphs = 956 meV/atom; mass density = 4.42 g/cm3; SG = No. 123; crystal system = tetragonal; DOS(E_F) = 0.90 states/eV per atom; total magnetization = 1.32 μB/f.u.; formation energy from the elements = 1.008 eV/atom
1.0
4.6586 0.0000 0.0000
0.0000 4.6586 0.0000
0.0000 0.0000 2.8465
Sr Be Co
1 2 1
direct
0.0000 0.0000 0.0000 Sr
0.0000 0.5000 0.5000 Be
0.5000 0.0000 0.5000 Be
0.5000 0.5000 0.0000 Co

---

(6)
PBE-GGA KIrS, optimized geometry; relative energy among the computed polymorphs = 121 meV/atom; uncorrected formation energy = -0.25 eV per atom; mass density = 6.50 g/cm3; SG = No. 8; crystal system = monoclinic; DOS(E_F) = 0.19 states/eV per atom; total magnetization = 0.00 μB/f.u.
1.0
3.9109 -1.5727 0.0000
3.9109 1.5727 0.0000
-0.6517 0.0000 5.4706
K Ir S
1 1 1
direct
0.0000 0.0000 0.0000 K
0.6786 0.6786 0.5266 Ir
0.3815 0.3815 0.4693 S